No. 1
The following is a PBE calculation of ErAs4Ru4 after structural relaxation, from the Alexandria database.

Summary:
Space group: P4_2/nmc (137)
E (eV/atom): -6.9964
ΔH_f (0 K) (eV per atom): -0.300
DOS at the Fermi energy (states/eV/cell): 11.8

Cell lengths 6.211, 6.211, 7.991 Å; angles 90.00, 90.00, 90.00 degrees
Positions (direct):
Er 0.500 0.500 0.500
Er 0.000 0.000 0.000
As 0.000 0.727 0.695
As 0.000 0.273 0.695
As 0.227 0.500 0.195
As 0.773 0.500 0.195
As 0.500 0.227 0.805
As 0.273 0.000 0.305
As 0.500 0.773 0.805
As 0.727 0.000 0.305
Ru 0.721 0.000 0.606
Ru 0.779 0.500 0.894
Ru 0.000 0.721 0.394
Ru 0.500 0.779 0.106
Ru 0.000 0.279 0.394
Ru 0.279 0.000 0.606
Ru 0.221 0.500 0.894
Ru 0.500 0.221 0.106


No. 2
The following is a PBE calculation of Er12As5Ru3 after structural relaxation, from the Alexandria database.

Summary:
Space group: Ia-3d (230)
E (eV/atom): -5.7395
ΔH_f (0 K) (eV per atom): -0.448
DOS at the Fermi energy (states/eV/cell): 65.8

Cell lengths 14.338, 14.338, 14.338 Å; angles 109.47, 109.47, 109.47 degrees
Positions (direct):
Er 0.423 0.366 0.593
Er 0.366 0.423 0.093
Er 0.944 0.366 0.273
Er 0.577 0.944 0.671
Er 0.577 0.634 0.407
Er 0.077 0.171 0.444
Er 0.773 0.329 0.907
Er 0.866 0.593 0.923
Er 0.329 0.773 0.407
Er 0.077 0.907 0.134
Er 0.444 0.671 0.077
Er 0.423 0.056 0.329
Er 0.944 0.577 0.171
Er 0.923 0.093 0.866
Er 0.171 0.077 0.944
Er 0.444 0.773 0.866
Er 0.273 0.866 0.944
Er 0.171 0.093 0.727
Er 0.829 0.907 0.273
Er 0.056 0.634 0.727
Er 0.093 0.923 0.366
Er 0.056 0.423 0.829
Er 0.907 0.077 0.634
Er 0.866 0.273 0.444
Er 0.366 0.944 0.773
Er 0.227 0.556 0.634
Er 0.329 0.556 0.423
Er 0.727 0.134 0.056
Er 0.273 0.407 0.829
Er 0.593 0.727 0.671
Er 0.671 0.227 0.593
Er 0.556 0.227 0.134
Er 0.773 0.444 0.366
Er 0.407 0.273 0.329
Er 0.634 0.577 0.907
Er 0.593 0.866 0.423
Er 0.907 0.829 0.773
Er 0.671 0.444 0.577
Er 0.634 0.056 0.227
Er 0.093 0.171 0.227
Er 0.923 0.829 0.556
Er 0.134 0.727 0.556
Er 0.556 0.329 0.923
Er 0.829 0.923 0.056
Er 0.407 0.134 0.577
Er 0.727 0.593 0.171
Er 0.134 0.407 0.077
Er 0.227 0.671 0.093
As 0.375 0.125 0.750
As 0.375 0.250 0.125
As 0.750 0.625 0.375
As 0.625 0.750 0.875
As 0.000 0.000 0.000
As 0.625 0.875 0.250
As 0.125 0.750 0.375
As 0.000 0.500 0.500
As 0.000 0.500 0.000
As 0.875 0.625 0.750
As 0.250 0.875 0.125
As 0.750 0.125 0.875
As 0.500 0.000 0.500
As 0.500 0.500 0.000
As 0.125 0.375 0.250
As 0.000 0.000 0.500
As 0.875 0.250 0.625
As 0.500 0.500 0.500
As 0.500 0.000 0.000
As 0.250 0.375 0.625
Ru 0.750 0.875 0.625
Ru 0.250 0.625 0.875
Ru 0.625 0.250 0.375
Ru 0.250 0.125 0.375
Ru 0.750 0.375 0.125
Ru 0.125 0.250 0.875
Ru 0.125 0.875 0.750
Ru 0.875 0.750 0.125
Ru 0.375 0.750 0.625
Ru 0.625 0.375 0.750
Ru 0.875 0.125 0.250
Ru 0.375 0.625 0.250


No. 3
The following is a PBE calculation of Er3AsS2 after structural relaxation, from the Alexandria database.

Summary:
Space group: Immm (71)
E (eV/atom): -6.2676
DOS at the Fermi energy (states/eV/cell): 2.0
Formation energy from raw total energies (eV per atom): -1.8355

Cell lengths 3.945, 5.573, 6.823 Å; angles 114.10, 106.80, 90.00 degrees
Positions (direct):
Er 0.169 0.669 0.838
Er 0.831 0.331 0.162
Er 0.500 0.000 0.500
S 0.166 0.166 0.832
S 0.834 0.834 0.168
As 0.500 0.500 0.500


No. 4
The following is a PBE calculation of Er3As2S after structural relaxation, from the Alexandria database.

Summary:
Space group: C2/m (12)
E (eV/atom): -6.2239
DOS at the Fermi energy (states/eV/cell): 1.4
Formation energy from raw total energies (eV per atom): -1.7047
Relative energy among the computed polymorphs (eV per atom): 0.000

Cell lengths 4.023, 5.688, 6.938 Å; angles 114.16, 106.88, 89.95 degrees
Positions (direct):
Er 0.835 0.834 0.668
Er 0.500 0.500 0.000
Er 0.165 0.166 0.332
S 0.500 0.000 0.000
As 0.833 0.333 0.666
As 0.167 0.667 0.334


Copy entry 2 word for word.
The following is a PBE calculation of Er12As5Ru3 after structural relaxation, from the Alexandria database.

Summary:
Space group: Ia-3d (230)
E (eV/atom): -5.7395
ΔH_f (0 K) (eV per atom): -0.448
DOS at the Fermi energy (states/eV/cell): 65.8

Cell lengths 14.338, 14.338, 14.338 Å; angles 109.47, 109.47, 109.47 degrees
Positions (direct):
Er 0.423 0.366 0.593
Er 0.366 0.423 0.093
Er 0.944 0.366 0.273
Er 0.577 0.944 0.671
Er 0.577 0.634 0.407
Er 0.077 0.171 0.444
Er 0.773 0.329 0.907
Er 0.866 0.593 0.923
Er 0.329 0.773 0.407
Er 0.077 0.907 0.134
Er 0.444 0.671 0.077
Er 0.423 0.056 0.329
Er 0.944 0.577 0.171
Er 0.923 0.093 0.866
Er 0.171 0.077 0.944
Er 0.444 0.773 0.866
Er 0.273 0.866 0.944
Er 0.171 0.093 0.727
Er 0.829 0.907 0.273
Er 0.056 0.634 0.727
Er 0.093 0.923 0.366
Er 0.056 0.423 0.829
Er 0.907 0.077 0.634
Er 0.866 0.273 0.444
Er 0.366 0.944 0.773
Er 0.227 0.556 0.634
Er 0.329 0.556 0.423
Er 0.727 0.134 0.056
Er 0.273 0.407 0.829
Er 0.593 0.727 0.671
Er 0.671 0.227 0.593
Er 0.556 0.227 0.134
Er 0.773 0.444 0.366
Er 0.407 0.273 0.329
Er 0.634 0.577 0.907
Er 0.593 0.866 0.423
Er 0.907 0.829 0.773
Er 0.671 0.444 0.577
Er 0.634 0.056 0.227
Er 0.093 0.171 0.227
Er 0.923 0.829 0.556
Er 0.134 0.727 0.556
Er 0.556 0.329 0.923
Er 0.829 0.923 0.056
Er 0.407 0.134 0.577
Er 0.727 0.593 0.171
Er 0.134 0.407 0.077
Er 0.227 0.671 0.093
As 0.375 0.125 0.750
As 0.375 0.250 0.125
As 0.750 0.625 0.375
As 0.625 0.750 0.875
As 0.000 0.000 0.000
As 0.625 0.875 0.250
As 0.125 0.750 0.375
As 0.000 0.500 0.500
As 0.000 0.500 0.000
As 0.875 0.625 0.750
As 0.250 0.875 0.125
As 0.750 0.125 0.875
As 0.500 0.000 0.500
As 0.500 0.500 0.000
As 0.125 0.375 0.250
As 0.000 0.000 0.500
As 0.875 0.250 0.625
As 0.500 0.500 0.500
As 0.500 0.000 0.000
As 0.250 0.375 0.625
Ru 0.750 0.875 0.625
Ru 0.250 0.625 0.875
Ru 0.625 0.250 0.375
Ru 0.250 0.125 0.375
Ru 0.750 0.375 0.125
Ru 0.125 0.250 0.875
Ru 0.125 0.875 0.750
Ru 0.875 0.750 0.125
Ru 0.375 0.750 0.625
Ru 0.625 0.375 0.750
Ru 0.875 0.125 0.250
Ru 0.375 0.625 0.250